## CaMn9CdO10 (PBE with a Hubbard U)

Data for CaMn9CdO10 after structural relaxation.

The structure in POSCAR format:
```
CaMn9CdO10
1.0
5.545 0.843 -0.063
0.034 5.500 -0.771
-1.004 -4.100 9.192
Ca Mn Cd O
1 9 1 10
Direct
0.730 0.283 0.528 Ca
0.273 0.355 0.698 Mn
0.083 0.989 0.971 Mn
0.363 0.515 0.054 Mn
0.157 0.185 0.332 Mn
0.818 0.453 0.885 Mn
0.545 0.911 0.797 Mn
0.446 0.715 0.428 Mn
0.002 0.820 0.612 Mn
0.908 0.619 0.238 Mn
0.605 0.033 0.174 Cd
0.724 0.270 0.014 O
0.631 0.071 0.652 O
0.911 0.640 0.753 O
0.820 0.488 0.390 O
0.177 0.171 0.834 O
0.255 0.376 0.201 O
0.029 0.801 0.105 O
0.449 0.697 0.908 O
0.349 0.538 0.557 O
0.105 0.999 0.470 O
```

## Properties
- size of the total moment (μB per cell) = 45.00
- VASP energy (eV for the cell shown) = -152.3
- theoretical density (g/cm3) = 5.10
- SG = P1